w.
Pm5Nd5Dy2: optimized geometry, PBE-GGA.

Lattice parameters (Å, degrees): 5.1513 8.1565 10.9442 72.63 76.39 71.59
With the nearest neighbours (Å) after each atom.
Fractional positions:
Pm (0.5000, 0.5000, 0.5000)  6 Nd 3.63, 2 Pm 3.64, 4 Dy 3.65
Pm (0.3330, 0.3339, 0.0002)  5 Nd 3.64-3.65, 4 Pm 3.64-3.66, 3 Dy 3.64
Pm (0.4179, 0.9147, 0.2494)  2 Dy 3.63, 3 Pm 3.64-3.66, 7 Nd 3.64-3.68
Pm (0.5821, 0.0853, 0.7506)  2 Dy 3.63, 3 Pm 3.64-3.66, 7 Nd 3.64-3.68
Pm (0.6670, 0.6661, 0.9998)  5 Nd 3.64-3.65, 4 Pm 3.64-3.66, 3 Dy 3.64
Nd (0.8346, 0.8314, 0.4995)  5 Pm 3.63-3.68, 2 Dy 3.64-3.65, 5 Nd 3.65-3.67
Nd (0.2512, 0.7481, 0.7495)  6 Pm 3.63-3.67, 2 Dy 3.63, 4 Nd 3.65-3.66
Nd (0.7488, 0.2519, 0.2505)  6 Pm 3.63-3.67, 2 Dy 3.63, 4 Nd 3.65-3.66
Nd (0.1654, 0.1686, 0.5005)  5 Pm 3.63-3.68, 2 Dy 3.64-3.65, 5 Nd 3.65-3.67
Nd (0.0000, 0.0000, 0.0000)  2 Dy 3.64, 8 Pm 3.64-3.65, 2 Nd 3.66
Dy (0.9165, 0.4162, 0.7509)  7 Pm 3.63-3.65, 5 Nd 3.63-3.65
Dy (0.0835, 0.5838, 0.2491)  7 Pm 3.63-3.65, 5 Nd 3.63-3.65

M_tot: 0.000 μB per formula unit
density: 7.2 g/cm³
calculated volume: 411.3 Å³ per cell
space-group type: No. 12

---

x.
Pm5Nd5Dy2: optimized geometry, PBE-GGA.

Lattice parameters (Å, degrees): 5.8183 6.6432 12.4947 106.68 90.00 115.97
With the nearest neighbours (Å) after each atom.
Fractional positions:
Pm (0.5000, 0.0000, 0.5000)  2 Pm 3.56, 8 Nd 3.62-3.77, 4 Dy 3.81
Pm (0.6900, 0.3801, 0.0310)  3 Pm 3.39-3.44, 5 Nd 3.44-3.71, 1 Dy 3.51
Pm (0.5733, 0.1466, 0.2454)  2 Pm 3.39-3.56, 2 Dy 3.61, 4 Nd 3.67-3.80
Pm (0.4267, 0.8534, 0.7546)  2 Pm 3.39-3.56, 2 Dy 3.61, 4 Nd 3.67-3.80
Pm (0.3100, 0.6199, 0.9690)  3 Pm 3.39-3.44, 5 Nd 3.44-3.71, 1 Dy 3.51
Nd (0.1877, 0.3754, 0.4685)  3 Nd 3.25-3.42, 2 Dy 3.29-3.58, 1 Pm 3.62
Nd (0.7404, 0.4807, 0.7751)  2 Dy 3.41, 2 Nd 3.42-3.46, 7 Pm 3.44-3.72
Nd (0.2596, 0.5193, 0.2249)  2 Dy 3.41, 2 Nd 3.42-3.46, 7 Pm 3.44-3.72
Nd (0.8123, 0.6246, 0.5315)  3 Nd 3.25-3.42, 2 Dy 3.29-3.58, 1 Pm 3.62
Nd (0.0000, 0.0000, 0.0000)  2 Nd 3.46, 6 Pm 3.63-3.84
Dy (0.0840, 0.1681, 0.7078)  4 Nd 3.29-3.58, 3 Pm 3.51-3.61
Dy (0.9160, 0.8319, 0.2922)  4 Nd 3.29-3.58, 3 Pm 3.51-3.61

M_tot: 0.000 μB per formula unit
density: 7.1 g/cm³
calculated volume: 411.5 Å³ per cell
space-group type: No. 12

---

Name the most stable of them. w.

---

w.
Pm3Nd2Dy2: optimized geometry, PBE-GGA.

Lattice parameters (Å, degrees): 3.5393 8.7558 9.0059 118.39 101.33 90.00
With the nearest neighbours (Å) after each atom.
Fractional positions:
Pm (0.0000, 0.5000, 0.0000)  4 Pm 3.40-3.54, 2 Nd 3.58, 4 Dy 3.62
Pm (0.2129, 0.8051, 0.4259)  5 Pm 3.40-3.54, 3 Dy 3.50-3.61, 3 Nd 3.66-3.78
Pm (0.7871, 0.1949, 0.5741)  5 Pm 3.40-3.54, 3 Dy 3.50-3.61, 3 Nd 3.66-3.78
Nd (0.8548, 0.6765, 0.7097)  4 Nd 3.54-3.91, 4 Pm 3.58-3.78, 4 Dy 3.67-3.69
Nd (0.1452, 0.3235, 0.2903)  4 Nd 3.54-3.91, 4 Pm 3.58-3.78, 4 Dy 3.67-3.69
Dy (0.5643, 0.9057, 0.1286)  3 Dy 3.39-3.54, 5 Pm 3.50-3.62, 4 Nd 3.67-3.69
Dy (0.4357, 0.0943, 0.8714)  3 Dy 3.39-3.54, 5 Pm 3.50-3.62, 4 Nd 3.67-3.69

M_tot: 0.000 μB per formula unit
density: 7.3 g/cm³
calculated volume: 239.3 Å³ per cell
space-group type: No. 12

---

x.
Pm3Nd2Dy2: optimized geometry, PBE-GGA.

Lattice parameters (Å, degrees): 3.6254 8.8893 8.1221 68.56 77.09 90.00
With the nearest neighbours (Å) after each atom.
Fractional positions:
Pm (0.0000, 0.0000, 0.0000)  4 Pm 3.62-3.63, 4 Dy 3.63, 4 Nd 3.64
Pm (0.8588, 0.5712, 0.2822)  4 Dy 3.60-3.61, 3 Nd 3.62-3.64, 5 Pm 3.62-3.68
Pm (0.1412, 0.4288, 0.7178)  4 Dy 3.60-3.61, 3 Nd 3.62-3.64, 5 Pm 3.62-3.68
Nd (0.7154, 0.1442, 0.5699)  5 Pm 3.62-3.64, 4 Nd 3.63-3.64, 3 Dy 3.63-3.65
Nd (0.2846, 0.8558, 0.4301)  5 Pm 3.62-3.64, 4 Nd 3.63-3.64, 3 Dy 3.63-3.65
Dy (0.4296, 0.2867, 0.1414)  6 Pm 3.60-3.63, 3 Dy 3.61-3.63, 3 Nd 3.63-3.65
Dy (0.5704, 0.7133, 0.8586)  6 Pm 3.60-3.63, 3 Dy 3.61-3.63, 3 Nd 3.63-3.65

M_tot: 0.000 μB per formula unit
density: 7.4 g/cm³
calculated volume: 236.5 Å³ per cell
space-group type: No. 2

---

Name the most stable of them. x.

---

w.
Pm5Nd2Dy: optimized geometry, PBE-GGA.

Lattice parameters (Å, degrees): 5.1420 7.2913 14.5954 90.00 90.00 90.00
With the nearest neighbours (Å) after each atom.
Fractional positions:
Pm (0.0000, 0.0000, 0.0000)  6 Pm 3.63-3.66, 4 Nd 3.64, 2 Dy 3.65
Pm (0.0000, 0.5000, 0.5000)  6 Pm 3.63-3.66, 4 Nd 3.64, 2 Dy 3.65
Pm (0.0000, 0.4987, 0.7510)  1 Dy 3.63, 7 Pm 3.64-3.66, 4 Nd 3.64-3.65
Pm (0.0000, 0.5013, 0.2490)  1 Dy 3.63, 7 Pm 3.64-3.66, 4 Nd 3.64-3.65
Pm (0.0000, 0.0013, 0.2510)  1 Dy 3.63, 7 Pm 3.64-3.66, 4 Nd 3.64-3.65
Pm (0.0000, 0.9987, 0.7490)  1 Dy 3.63, 7 Pm 3.64-3.66, 4 Nd 3.64-3.65
Pm (0.5000, 0.2492, 0.8756)  4 Nd 3.63-3.67, 6 Pm 3.63-3.65, 2 Dy 3.64
Pm (0.5000, 0.7508, 0.1244)  4 Nd 3.63-3.67, 6 Pm 3.63-3.65, 2 Dy 3.64
Pm (0.5000, 0.2508, 0.3756)  4 Nd 3.63-3.67, 6 Pm 3.63-3.65, 2 Dy 3.64
Pm (0.5000, 0.7492, 0.6244)  4 Nd 3.63-3.67, 6 Pm 3.63-3.65, 2 Dy 3.64
Nd (0.5000, 0.2488, 0.6244)  10 Pm 3.63-3.67, 2 Dy 3.63
Nd (0.5000, 0.7512, 0.3756)  10 Pm 3.63-3.67, 2 Dy 3.63
Nd (0.5000, 0.2512, 0.1244)  10 Pm 3.63-3.67, 2 Dy 3.63
Nd (0.5000, 0.7488, 0.8756)  10 Pm 3.63-3.67, 2 Dy 3.63
Dy (0.0000, 0.0000, 0.5000)  4 Nd 3.63, 8 Pm 3.63-3.65
Dy (0.0000, 0.5000, 0.0000)  4 Nd 3.63, 8 Pm 3.63-3.65

M_tot: 0.000 μB per formula unit
density: 7.1 g/cm³
calculated volume: 547.2 Å³ per cell
space-group type: No. 55

---

x.
Pm5Nd2Dy: optimized geometry, PBE-GGA.

Lattice parameters (Å, degrees): 10.1689 6.6681 10.8718 117.95 117.88 90.00
With the nearest neighbours (Å) after each atom.
Fractional positions:
Pm (0.4937, 0.4602, 0.8054)  4 Nd 3.40-3.75, 1 Dy 3.48, 2 Pm 3.69-3.72
Pm (0.9373, 0.7500, 0.0000)  4 Nd 3.34-3.67, 2 Pm 3.57
Pm (0.0627, 0.2500, 0.0000)  4 Nd 3.34-3.67, 2 Pm 3.57
Pm (0.8805, 0.6195, 0.5917)  1 Nd 3.46, 2 Dy 3.50-3.52, 5 Pm 3.72-3.84
Pm (0.1195, 0.3805, 0.4083)  1 Nd 3.46, 2 Dy 3.50-3.52, 5 Pm 3.72-3.84
Pm (0.7113, 0.1195, 0.5917)  1 Nd 3.46, 2 Dy 3.50-3.52, 5 Pm 3.72-3.84
Pm (0.2887, 0.8805, 0.4083)  1 Nd 3.46, 2 Dy 3.50-3.52, 5 Pm 3.72-3.84
Pm (0.5063, 0.5398, 0.1946)  4 Nd 3.40-3.75, 1 Dy 3.48, 2 Pm 3.69-3.72
Pm (0.3116, 0.9602, 0.8054)  4 Nd 3.40-3.75, 1 Dy 3.48, 2 Pm 3.69-3.72
Pm (0.6884, 0.0398, 0.1946)  4 Nd 3.40-3.75, 1 Dy 3.48, 2 Pm 3.69-3.72
Nd (0.1747, 0.4713, 0.8343)  1 Dy 3.08, 2 Pm 3.34-3.40, 1 Nd 3.38
Nd (0.6596, 0.9713, 0.8343)  1 Dy 3.08, 2 Pm 3.34-3.40, 1 Nd 3.38
Nd (0.8253, 0.5287, 0.1657)  1 Dy 3.08, 2 Pm 3.34-3.40, 1 Nd 3.38
Nd (0.3404, 0.0287, 0.1657)  1 Dy 3.08, 2 Pm 3.34-3.40, 1 Nd 3.38
Dy (0.0000, 0.0000, 0.5000)  2 Nd 3.08
Dy (0.5000, 0.5000, 0.5000)  2 Nd 3.08

M_tot: 0.000 μB per formula unit
density: 7.1 g/cm³
calculated volume: 552.4 Å³ per cell
space-group type: No. 15

---

Name the most stable of them. w.

---

w.
Pm2NdDy8: optimized geometry, PBE-GGA.

Lattice parameters (Å, degrees): 5.5394 8.1306 9.4168 115.58 107.11 90.00
With the nearest neighbours (Å) after each atom.
Fractional positions:
Pm (0.2000, 0.7000, 0.4000)  10 Dy 3.39-3.62
Pm (0.8000, 0.3000, 0.6000)  10 Dy 3.39-3.62
Nd (0.5000, 0.0000, 0.0000)  4 Dy 3.26
Dy (0.6384, 0.8454, 0.2767)  1 Nd 3.26, 4 Dy 3.37-3.63, 3 Pm 3.39-3.52
Dy (0.3616, 0.5687, 0.7233)  1 Nd 3.26, 4 Dy 3.37-3.63, 3 Pm 3.39-3.52
Dy (0.1615, 0.1615, 0.3230)  8 Dy 3.53-3.67, 2 Pm 3.55, 2 Nd 3.79
Dy (0.0000, 0.2939, 0.0000)  7 Dy 3.35-3.55, 2 Pm 3.62, 2 Nd 3.66
Dy (0.8385, 0.8385, 0.6770)  8 Dy 3.53-3.67, 2 Pm 3.55, 2 Nd 3.79
Dy (0.6384, 0.4313, 0.2767)  1 Nd 3.26, 4 Dy 3.37-3.63, 3 Pm 3.39-3.52
Dy (0.3616, 0.1546, 0.7233)  1 Nd 3.26, 4 Dy 3.37-3.63, 3 Pm 3.39-3.52
Dy (0.0000, 0.7061, 0.0000)  7 Dy 3.35-3.55, 2 Pm 3.62, 2 Nd 3.66

M_tot: 0.000 μB per formula unit
density: 8.0 g/cm³
calculated volume: 361.7 Å³ per cell
space-group type: No. 71

---

x.
Pm2NdDy8: optimized geometry, PBE-GGA.

Lattice parameters (Å, degrees): 5.5729 10.1442 10.1442 40.50 92.70 92.70
With the nearest neighbours (Å) after each atom.
Fractional positions:
Pm (0.7481, 0.2844, 0.2844)  9 Dy 3.23-3.59
Pm (0.2519, 0.7156, 0.7156)  9 Dy 3.23-3.59
Nd (0.0000, 0.0000, 0.0000)  10 Dy 3.51-3.84
Dy (0.2671, 0.1357, 0.6022)  4 Dy 3.28-3.56, 3 Pm 3.47-3.63, 1 Nd 3.51
Dy (0.2671, 0.6022, 0.1357)  4 Dy 3.28-3.56, 3 Pm 3.47-3.63, 1 Nd 3.51
Dy (0.7329, 0.8643, 0.3978)  4 Dy 3.28-3.56, 3 Pm 3.47-3.63, 1 Nd 3.51
Dy (0.2378, 0.5459, 0.5459)  1 Dy 3.10, 1 Pm 3.23
Dy (0.7329, 0.3978, 0.8643)  4 Dy 3.28-3.56, 3 Pm 3.47-3.63, 1 Nd 3.51
Dy (0.2334, 0.1868, 0.1868)  4 Pm 3.34-3.55, 4 Dy 3.48-3.56, 1 Nd 3.72
Dy (0.7666, 0.8132, 0.8132)  4 Pm 3.34-3.55, 4 Dy 3.48-3.56, 1 Nd 3.72
Dy (0.7622, 0.4541, 0.4541)  1 Dy 3.10, 1 Pm 3.23

M_tot: 0.000 μB per formula unit
density: 7.7 g/cm³
calculated volume: 372.0 Å³ per cell
space-group type: No. 12

---

Name the most stable of them. w.